# 1
{"formula": "CoCuSnPb", "functional": "PBE-GGA", "state": "relaxed", "energy_ha_per_atom": -0.15578, "polymorph_energy_mev_per_atom": 0, "lattice": [[0.000, 3.311, 3.311], [3.311, 0.000, 3.311], [3.311, 3.311, 0.000]], "species": ["Pb", "Co", "Cu", "Sn"], "fractional_positions": [[0.500, 0.500, 0.500], [0.250, 0.250, 0.250], [0.750, 0.750, 0.750], [0.000, 0.000, 0.000]]}

# 2
{"formula": "Gd3ZrC2S2", "functional": "PBE-GGA", "state": "relaxed", "energy_ha_per_atom": -0.27065, "lattice": [[-2.612, -2.153, -1.369], [2.734, 1.138, -2.136], [6.889, -10.433, 3.262]], "species": ["C", "C", "Gd", "Gd", "Gd", "S", "S", "Zr"], "fractional_positions": [[0.333, 0.667, 0.015], [0.333, 0.667, 0.496], [0.667, 0.333, 0.900], [0.667, 0.333, 0.605], [0.000, 0.000, 0.391], [0.000, 0.000, 0.754], [0.667, 0.333, 0.236], [0.000, 0.000, 0.103]]}

# 3
{"formula": "ZnAsOsO", "functional": "PBE-GGA", "state": "relaxed", "energy_ha_per_atom": -0.20569, "polymorph_energy_mev_per_atom": 347, "lattice": [[-0.431, -3.142, 2.650], [3.955, -2.142, -1.896], [3.363, 2.792, 3.858]], "species": ["As", "As", "Zn", "Zn", "Os", "Os", "O", "O"], "fractional_positions": [[0.000, 0.158, 0.839], [0.000, 0.842, 0.339], [0.500, 0.300, 0.061], [0.500, 0.700, 0.561], [0.000, 0.657, 0.957], [0.000, 0.343, 0.457], [0.500, 0.305, 0.397], [0.500, 0.695, 0.897]]}

# 4
{"formula": "LiFeCuOs", "functional": "PBE-GGA", "state": "relaxed", "energy_ha_per_atom": -0.21037, "polymorph_energy_mev_per_atom": 323, "lattice": [[2.277, -3.302, 0.492], [-1.497, -3.217, 1.934], [-0.861, -3.372, -2.054]], "species": ["Os", "Cu", "Li", "Fe"], "fractional_positions": [[0.000, 0.000, 0.000], [0.750, 0.750, 0.750], [0.250, 0.250, 0.250], [0.500, 0.500, 0.500]]}

# 5
{"formula": "NdScRe", "functional": "PBE-GGA", "state": "relaxed", "energy_ha_per_atom": -0.25279, "e_form_ev_per_atom": 0.96, "polymorph_energy_mev_per_atom": 0, "lattice": [[0.984, -0.349, 4.549], [-2.250, -3.121, 2.642], [2.260, -3.750, 1.618]], "species": ["Sc", "Re", "Nd"], "fractional_positions": [[0.000, 0.000, 0.000], [0.750, 0.750, 0.750], [0.250, 0.250, 0.250]]}

# 6
{"formula": "LaHgNO", "functional": "PBE-GGA", "state": "relaxed", "energy_ha_per_atom": -0.21082, "polymorph_energy_mev_per_atom": 40, "lattice": [[-2.066, -3.579, 0.000], [0.000, 0.000, 5.694], [-5.498, 3.174, 0.000]], "species": ["La", "La", "Hg", "Hg", "O", "O", "N", "N"], "fractional_positions": [[0.000, 0.973, 0.713], [0.000, 0.473, 0.287], [0.500, 0.464, 0.767], [0.500, 0.964, 0.233], [0.500, 0.900, 0.847], [0.500, 0.400, 0.153], [0.000, 0.917, 0.338], [0.000, 0.417, 0.662]]}

# 7
{"formula": "PuAsPb", "functional": "PBE-GGA", "state": "relaxed", "energy_ha_per_atom": -0.27122, "polymorph_energy_mev_per_atom": 196, "lattice": [[-0.412, -3.796, 3.372], [1.988, 0.508, 4.663], [-3.067, 0.501, 4.036]], "species": ["Pb", "Pu", "As"], "fractional_positions": [[0.750, 0.750, 0.750], [0.500, 0.500, 0.500], [0.000, 0.000, 0.000]]}

# 8
{"formula": "Cu7Ag3", "functional": "PBE-GGA", "state": "relaxed", "energy_ha_per_atom": -0.12310, "e_form_ev_per_atom": 0.10, "polymorph_energy_mev_per_atom": 55, "lattice": [[9.435, -1.368, 0.000], [9.435, 1.368, 0.000], [-0.853, 0.000, 5.338]], "species": ["Ag", "Ag", "Ag", "Cu", "Cu", "Cu", "Cu", "Cu", "Cu", "Cu"], "fractional_positions": [[0.199, 0.199, 0.615], [0.801, 0.801, 0.385], [0.000, 0.000, 0.000], [0.599, 0.599, 0.306], [0.403, 0.403, 0.204], [0.000, 0.000, 0.500], [0.597, 0.597, 0.796], [0.192, 0.192, 0.096], [0.401, 0.401, 0.694], [0.808, 0.808, 0.904]]}

# 9
{"formula": "ReSiPt2", "functional": "PBE-GGA", "state": "relaxed", "energy_ha_per_atom": -0.27282, "lattice": [[-2.193, -3.676, 0.937], [0.521, -1.928, 3.900], [-3.254, 0.077, 2.934]], "species": ["Re", "Si", "Pt", "Pt"], "fractional_positions": [[0.250, 0.250, 0.250], [0.500, 0.500, 0.500], [0.750, 0.750, 0.750], [0.000, 0.000, 0.000]]}

# 10
{"formula": "IrIO", "functional": "PBE-GGA", "state": "relaxed", "energy_ha_per_atom": -0.17156, "polymorph_energy_mev_per_atom": 567, "lattice": [[4.040, 1.442, 4.721], [-3.071, 5.476, 1.128], [-4.127, -6.325, 1.067]], "species": ["I", "I", "I", "I", "Ir", "Ir", "Ir", "Ir", "O", "O", "O", "O"], "fractional_positions": [[0.500, 0.000, 0.500], [0.000, 0.000, 0.500], [0.500, 0.000, 0.000], [0.500, 0.500, 0.000], [0.046, 0.454, 0.750], [0.954, 0.546, 0.250], [0.296, 0.204, 0.250], [0.704, 0.796, 0.750], [0.025, 0.275, 0.051], [0.975, 0.725, 0.949], [0.775, 0.525, 0.551], [0.225, 0.475, 0.449]]}

# 11
{"formula": "ZnGe", "functional": "PBE-GGA", "state": "relaxed", "energy_ha_per_atom": -0.10075, "lattice": [[-0.680, 1.367, -9.972], [-1.366, -2.488, -0.248], [-4.239, 2.267, 0.600]], "species": ["Ge", "Ge", "Ge", "Ge", "Zn", "Zn", "Zn", "Zn"], "fractional_positions": [[0.680, 0.000, 0.500], [0.399, 0.500, 0.500], [0.237, 0.500, 0.000], [0.517, 0.000, 0.000], [0.923, 0.500, 0.500], [0.993, 0.000, 0.000], [0.151, 0.000, 0.500], [0.766, 0.500, 0.000]]}

# 12
{"formula": "Tm3AlZn2NiAu2", "functional": "PBE-GGA", "state": "relaxed", "energy_ha_per_atom": -0.15470, "lattice": [[3.909, 0.000, 0.000], [0.000, 6.257, 3.577], [0.000, -6.257, 3.577]], "species": ["Tm", "Tm", "Tm", "Al", "Zn", "Zn", "Ni", "Au", "Au"], "fractional_positions": [[0.000, 0.994, 0.398], [0.000, 0.398, 0.994], [0.000, 0.609, 0.609], [0.500, 0.225, 0.225], [0.500, 0.002, 0.769], [0.500, 0.769, 0.002], [0.000, 0.011, 0.011], [0.500, 0.333, 0.658], [0.500, 0.658, 0.333]]}